ZrTlTc2O8 (PBE, optimized geometry); symmetry = C2/m; formation energy (no corrections) = -1695 meV per atom
1.0
4.9017 -3.0048 0.0000
4.9017 3.0048 0.0000
-0.1912 0.0000 7.9508
Zr Tl Tc O
1 1 2 8
direct
0.0000 0.0000 0.0000 Zr
0.0000 0.0000 0.5000 Tl
0.3513 0.3513 0.2366 Tc
0.6487 0.6487 0.7634 Tc
0.1858 0.6924 0.1736 O
0.1950 0.1950 0.1111 O
0.3076 0.8142 0.8264 O
0.3187 0.3187 0.4514 O
0.6813 0.6813 0.5486 O
0.6924 0.1858 0.1736 O
0.8050 0.8050 0.8889 O
0.8142 0.3076 0.8264 O